A relaxed CaNb2CuN4 crystal. Source: Alexandria, functional PBE-GGA.

Values from the calculation:
N(E_F) = 0.129 states/eV/atom
E = -8.18 eV/atom
formation energy without anion corrections = -739 meV per atom

Lattice parameters (Å, degrees): 3.2047 5.5440 10.9432 90.00 90.00 106.80
Closest atoms and distances in Å follow each position.
Positions (direct):
N 0.2736 0.5472 0.3942  1 Cu 1.93, 1 Nb 2.02
N 0.0000 0.0000 0.5000  4 Nb 2.19
N 0.7264 0.4528 0.6058  1 Cu 1.93, 1 Nb 2.02
N 0.0000 0.0000 0.0000  4 Nb 2.19
N 0.4422 0.8844 0.7500  2 Cu 1.98
N 0.7264 0.4528 0.8942  1 Cu 1.93, 1 Nb 2.02
N 0.2736 0.5472 0.1058  1 Cu 1.93, 1 Nb 2.02
N 0.5578 0.1156 0.2500  2 Cu 1.98
Nb 0.6299 0.2598 0.0530  3 N 2.02-2.19
Nb 0.3701 0.7402 0.5530  3 N 2.02-2.19
Nb 0.6299 0.2598 0.4470  3 N 2.02-2.19
Nb 0.3701 0.7402 0.9470  3 N 2.02-2.19
Cu 0.8319 0.6638 0.7500  4 N 1.93-1.98
Cu 0.1681 0.3362 0.2500  4 N 1.93-1.98
Ca 0.1022 0.2044 0.7500  6 N 2.34-2.61
Ca 0.8978 0.7956 0.2500  6 N 2.34-2.61